# LiFe2F

Crystalline LiFe2F at its relaxed geometry (GGA+U, Alexandria via LeMat-Bulk).

Lattice parameters (Å, degrees): 8.1202 8.1202 6.0394 47.76 47.76 90.00
With the nearest neighbours (Å) after each atom.
Fractional coordinates of all 8 atoms:
Fe1 0.0114 0.6250 0.2500  2 F 2.36, 2 Fe 2.63
Fe2 0.7386 0.1250 0.2500  2 F 2.36, 2 Fe 2.63
F1 0.0000 0.0000 0.0000  2 Li 1.87
Fe3 0.3750 0.2614 0.7500  2 F 2.36, 2 Fe 2.63
F2 0.7500 0.2500 0.5000  2 Li 1.87
Li1 0.2500 0.7500 0.5000  2 F 1.87
Li2 0.5000 0.5000 0.0000  2 F 1.87
Fe4 0.8750 0.9886 0.7500  2 F 2.36, 2 Fe 2.63

The total moment comes out at 1.635 μB per atom. The total energy is -31.75 eV for the cell shown.